(1)
LaNbMo | GGA-PBE | optimized geometry

Results
- energy relative to the lowest polymorph listed for this composition (meV per atom) = 66
- magnetic moment (μB/atom) = 0.000
- DFT formation energy (eV/f.u.) = 0.79
- DOS at the Fermi energy (states/eV/f.u.) = 3.2

Cell: 3.143 4.458 9.365 Å, 90.00 93.86 90.00°
Element x y z (fractional)
La: 0.000 0.000 0.000
La: 0.468 0.500 0.768
Nb: 0.066 0.500 0.440
Nb: 0.756 0.000 0.570
Mo: 0.405 0.000 0.306
Mo: 0.684 0.500 0.186

---

(2)
Zn2RuSe | GGA-PBE | optimized geometry

Results
- magnetic moment (μB/atom) = 0.000
- DOS at the Fermi energy (states/eV/f.u.) = 2.8
- ΔE_f (raw) (meV/atom) = 127

Cell: 4.604 4.604 3.176 Å, 90.00 90.00 112.55°
Element x y z (fractional)
Zn: 0.000 0.500 0.000
Zn: 0.500 0.000 0.000
Ru: 0.000 0.000 0.500
Se: 0.500 0.500 0.500

---

(3)
Li2AcInHg5 | GGA-PBE | optimized geometry

Results
- magnetic moment (μB/atom) = 0.000
- DFT formation energy (eV/f.u.) = -2.44
- DOS at the Fermi energy (states/eV/f.u.) = 6.1

Cell: 5.243 5.243 7.985 Å, 90.00 90.00 90.00°
Element x y z (fractional)
Li: 0.000 0.000 0.165
Li: 0.000 0.000 0.835
Ac: 0.500 0.500 0.500
In: 0.500 0.500 0.000
Hg: 0.000 0.000 0.500
Hg: 0.000 0.500 0.226
Hg: 0.000 0.500 0.774
Hg: 0.500 0.000 0.226
Hg: 0.500 0.000 0.774

---

(4)
Mn2AsPt | GGA-PBE | optimized geometry

Results
- energy relative to the lowest polymorph listed for this composition (meV per atom) = 202
- magnetic moment (μB/atom) = 1.216
- DFT formation energy (eV/f.u.) = 0.21
- DOS at the Fermi energy (states/eV/f.u.) = 2.5

Cell: 4.292 4.292 4.292 Å, 60.00 60.00 60.00°
Element x y z (fractional)
Mn: 0.000 0.000 0.000
Mn: 0.250 0.250 0.250
As: 0.500 0.500 0.500
Pt: 0.750 0.750 0.750

---

(5)
Ca8HN2 | GGA-PBE | optimized geometry

Results
- total DFT energy (no corrections) (eV per atom) = -3.71
- magnetic moment (μB/atom) = 0.000
- DOS at the Fermi energy (states/eV/f.u.) = 5.3

Cell: 7.409 7.409 6.394 Å, 105.68 105.68 59.83°
Element x y z (fractional)
Ca: 0.117 0.609 0.227
Ca: 0.134 0.134 0.225
Ca: 0.366 0.366 0.761
Ca: 0.391 0.883 0.773
Ca: 0.609 0.117 0.227
Ca: 0.634 0.634 0.239
Ca: 0.866 0.866 0.775
Ca: 0.883 0.391 0.773
H: 0.500 0.500 0.500
N: 0.252 0.252 0.000
N: 0.748 0.748 0.000

---

(6)
HfHg2RhS | GGA-PBE | optimized geometry

Results
- magnetic moment (μB/atom) = 0.000
- DOS at the Fermi energy (states/eV/f.u.) = 4.2
- ΔE_f (raw) (meV/atom) = 666

Cell: 4.918 4.918 4.698 Å, 90.00 90.00 90.00°
Element x y z (fractional)
Hf: 0.000 0.000 0.000
Hg: 0.000 0.500 0.500
Hg: 0.500 0.000 0.500
Rh: 0.500 0.500 0.000
S: 0.000 0.000 0.500

---

(7)
Dy2ZnGaRu2 | GGA-PBE | optimized geometry

Results
- magnetic moment (μB/atom) = 0.000
- DFT formation energy (eV/f.u.) = -2.30
- DOS at the Fermi energy (states/eV/f.u.) = 2.6

Cell: 8.092 8.092 8.092 Å, 138.49 60.29 138.31°
Element x y z (fractional)
Dy: 0.170 0.244 0.414
Dy: 0.330 0.744 0.074
Dy: 0.670 0.256 0.926
Dy: 0.830 0.756 0.586
Zn: 0.250 0.250 0.000
Zn: 0.750 0.750 0.000
Ga: 0.250 0.750 0.500
Ga: 0.750 0.250 0.500
Ru: 0.118 0.740 0.857
Ru: 0.382 0.240 0.622
Ru: 0.618 0.760 0.378
Ru: 0.882 0.260 0.143

---

(8)
NbVCr | GGA-PBE | optimized geometry

Results
- energy relative to the lowest polymorph listed for this composition (meV per atom) = 146
- magnetic moment (μB/atom) = 0.000
- DFT formation energy (eV/f.u.) = 0.11
- DOS at the Fermi energy (states/eV/f.u.) = 4.0

Cell: 5.158 5.158 4.349 Å, 90.00 90.00 131.32°
Element x y z (fractional)
Nb: 0.093 0.907 0.750
Nb: 0.907 0.093 0.250
V: 0.408 0.592 0.750
V: 0.592 0.408 0.250
Cr: 0.250 0.750 0.250
Cr: 0.750 0.250 0.750

---

(9)
YReAg2 | GGA-PBE | optimized geometry

Results
- energy relative to the lowest polymorph listed for this composition (meV per atom) = 0
- magnetic moment (μB/atom) = 0.000
- DFT formation energy (eV/f.u.) = 1.54
- DOS at the Fermi energy (states/eV/f.u.) = 2.8

Cell: 2.937 2.937 8.842 Å, 90.00 90.00 90.00°
Element x y z (fractional)
Y: 0.000 0.000 0.000
Re: 0.500 0.500 0.747
Ag: 0.000 0.000 0.519
Ag: 0.500 0.500 0.279

---

(10)
V2HgBr8 | GGA-PBE | optimized geometry

Results
- magnetic moment (μB/atom) = 0.182
- DOS at the Fermi energy (states/eV/f.u.) = 12.2
- ΔE_f (raw) (meV/atom) = -704

Cell: 8.055 8.055 9.327 Å, 106.10 106.10 58.44°
Element x y z (fractional)
V: 0.204 0.204 0.193
V: 0.796 0.796 0.807
Hg: 0.000 0.000 0.500
Br: 0.097 0.628 0.727
Br: 0.163 0.163 0.934
Br: 0.372 0.903 0.273
Br: 0.376 0.376 0.301
Br: 0.624 0.624 0.699
Br: 0.628 0.097 0.727
Br: 0.837 0.837 0.066
Br: 0.903 0.372 0.273

---

(11)
CaZnAs2 | GGA-PBE | optimized geometry

Results
- magnetic moment (μB/atom) = 0.000
- DFT formation energy (eV/f.u.) = -0.51
- DOS at the Fermi energy (states/eV/f.u.) = 3.5

Cell: 4.949 4.949 4.949 Å, 60.00 60.00 60.00°
Element x y z (fractional)
Ca: 0.000 0.000 0.000
Zn: 0.250 0.250 0.250
As: 0.500 0.500 0.500
As: 0.750 0.750 0.750